# 1
Material: Cs3PrBr8
Method: DFT, PBE-GGA
State: optimized geometry

```
Cs3PrBr8
1.0
-4.082 4.082 8.285
4.082 -4.082 8.285
4.082 4.082 -8.285
Cs Pr Br
3 1 8
Cartesian
0.000 0.000 0.000
4.082 0.000 4.142
0.000 4.082 4.142
0.000 0.000 8.285
2.325 2.325 -1.794
1.757 -1.757 6.491
2.325 2.325 1.794
1.757 -1.757 10.079
-1.757 1.757 6.491
1.757 1.757 6.491
-1.757 1.757 10.079
1.757 1.757 10.079
```

Calculated values
Spin magnetization ... 0.160 μB/atom
Energy relative to the elements, uncorrected ... -16.9 eV/f.u.


# 2
Material: CuAgPd3
Method: DFT, PBE-GGA
State: optimized geometry

```
CuAgPd3
1.0
4.596 0.000 0.000
0.000 4.596 0.000
0.000 0.000 4.596
Cu Ag Pd
1 1 3
Cartesian
0.000 0.000 0.000
2.298 2.298 2.298
0.000 0.000 2.298
0.000 2.298 0.000
2.298 0.000 0.000
```

Calculated values
Spin magnetization ... 0.000 μB/atom
Calculated formation energy ... 0.675 eV/atom


# 3
Material: KPtNO2
Method: DFT, PBE-GGA
State: optimized geometry

```
KPtNO2
1.0
4.578 0.000 0.000
0.000 4.578 0.000
0.000 0.000 4.786
K Pt N O
1 1 1 2
Cartesian
0.000 0.000 0.000
2.289 2.289 2.393
0.000 0.000 2.393
0.000 2.289 0.000
2.289 0.000 0.000
```

Calculated values
Spin magnetization ... 1.202 μB/atom
Energy relative to the elements, uncorrected ... 10.8 eV/f.u.


# 4
Material: YInSe3
Method: DFT, PBE-GGA
State: optimized geometry

```
YInSe3
1.0
8.780 -2.113 0.000
8.780 2.113 0.000
-1.330 0.000 8.101
Y In Se
2 2 6
Cartesian
2.025 0.000 2.912
14.205 0.000 5.189
6.739 0.000 1.137
9.491 0.000 6.964
2.897 0.000 0.147
4.952 0.000 3.209
7.217 0.000 5.756
9.013 0.000 2.345
11.278 0.000 4.892
13.333 0.000 7.954
```

Calculated values
Spin magnetization ... 0.000 μB/atom
Energy relative to the elements, uncorrected ... -5.6 eV/f.u.


> Look up the spin magnetization of the first one.

0.160 μB/atom


> Look up the spin magnetization of the fourth one.

0.000 μB/atom


> What is the spin magnetization in the third record?

1.202 μB/atom


> Number 3 is which compound?

KPtNO2